# TbDyAgHg

A relaxed TbDyAgHg crystal (GGA-PBE, Alexandria).

Calculated values
crystal system: cubic
theoretical density: 10.45 g cm⁻³
V: 25.02 Å³ per atom
DFT total energy: -3.498 eV/atom
size of the total moment: 0.00 μB/f.u.

Cell: 5.2117 5.2117 5.2117 Å, 60.00 60.00 60.00°
With the nearest neighbours (Å) after each atom.
Fractional coordinates of all 4 atoms:
1 Ag 0.2500 0.2500 0.2500  4 Tb 3.19, 4 Dy 3.19
2 Tb 0.0000 0.0000 0.0000  4 Hg 3.19, 4 Ag 3.19
3 Hg 0.7500 0.7500 0.7500  4 Tb 3.19, 4 Dy 3.19
4 Dy 0.5000 0.5000 0.5000  4 Hg 3.19, 4 Ag 3.19

# Dy2ThAgHg4

A relaxed Dy2ThAgHg4 crystal (GGA-PBE, Alexandria).

Calculated values
crystal system: trigonal
theoretical density: 12.03 g cm⁻³
V: 25.33 Å³ per atom
DFT total energy: -2.890 eV/atom
size of the total moment: 0.00 μB/f.u.

Cell: 5.0385 5.0385 9.6638 Å, 74.89 74.89 60.00°
With the nearest neighbours (Å) after each atom.
Fractional coordinates of all 8 atoms:
1 Hg 0.6183 0.6183 0.1451  3 Dy 3.17, 3 Th 3.20, 1 Ag 3.27
2 Hg 0.1275 0.1275 0.6176  4 Dy 3.05-3.09, 3 Ag 3.10
3 Hg 0.8725 0.8725 0.3824  4 Dy 3.05-3.09, 3 Ag 3.10
4 Hg 0.3817 0.3817 0.8549  3 Dy 3.17, 3 Th 3.20, 1 Ag 3.27
5 Dy 0.7608 0.7608 0.7175  7 Hg 3.05-3.17
6 Dy 0.2392 0.2392 0.2825  7 Hg 3.05-3.17
7 Th 0.0000 0.0000 0.0000  8 Hg 3.20-3.52
8 Ag 0.5000 0.5000 0.5000  8 Hg 3.10-3.27

# Dy4TlAg2Hg

A relaxed Dy4TlAg2Hg crystal (GGA-PBE, Alexandria).

Calculated values
crystal system: trigonal
theoretical density: 10.41 g cm⁻³
V: 25.34 Å³ per atom
DFT total energy: -3.718 eV/atom
size of the total moment: 0.00 μB/f.u.

Cell: 5.2334 5.2334 9.0654 Å, 73.22 73.22 60.00°
With the nearest neighbours (Å) after each atom.
Fractional coordinates of all 8 atoms:
1 Dy 0.8731 0.8731 0.3808  4 Ag 3.17-3.23, 3 Hg 3.19, 1 Tl 3.25
2 Dy 0.3770 0.3770 0.8691  1 Hg 3.15, 4 Ag 3.18-3.25, 3 Tl 3.22
3 Dy 0.1269 0.1269 0.6192  4 Ag 3.17-3.23, 3 Hg 3.19, 1 Tl 3.25
4 Dy 0.6230 0.6230 0.1309  1 Hg 3.15, 4 Ag 3.18-3.25, 3 Tl 3.22
5 Ag 0.7496 0.7496 0.7513  8 Dy 3.17-3.25
6 Ag 0.2504 0.2504 0.2487  8 Dy 3.17-3.25
7 Hg 0.5000 0.5000 0.5000  8 Dy 3.15-3.19
8 Tl 0.0000 0.0000 0.0000  8 Dy 3.22-3.25

# DyTlAgHg

A relaxed DyTlAgHg crystal (GGA-PBE, Alexandria).

Calculated values
crystal system: cubic
theoretical density: 12.06 g cm⁻³
V: 23.24 Å³ per atom
DFT total energy: -2.763 eV/atom
size of the total moment: 0.00 μB/f.u.

Cell: 5.0849 5.0849 5.0849 Å, 60.00 60.00 60.00°
With the nearest neighbours (Å) after each atom.
Fractional coordinates of all 4 atoms:
1 Hg 0.0000 0.0000 0.0000  4 Ag 3.11, 4 Dy 3.11
2 Ag 0.2500 0.2500 0.2500  4 Tl 3.11, 4 Hg 3.11
3 Tl 0.5000 0.5000 0.5000  4 Dy 3.11, 4 Ag 3.11
4 Dy 0.7500 0.7500 0.7500  4 Tl 3.11, 4 Hg 3.11

# Dy4TlAgHg2

A relaxed Dy4TlAgHg2 crystal (GGA-PBE, Alexandria).

Calculated values
crystal system: trigonal
theoretical density: 10.99 g cm⁻³
V: 25.76 Å³ per atom
DFT total energy: -3.426 eV/atom
size of the total moment: 0.01 μB/f.u.

Cell: 5.2489 5.2489 9.1526 Å, 73.34 73.34 60.00°
With the nearest neighbours (Å) after each atom.
Fractional coordinates of all 8 atoms:
1 Dy 0.8725 0.8725 0.3825  4 Hg 3.15-3.23, 3 Ag 3.20, 1 Tl 3.30
2 Dy 0.3778 0.3778 0.8665  1 Ag 3.17, 4 Hg 3.20-3.34, 3 Tl 3.24
3 Dy 0.6222 0.6222 0.1335  1 Ag 3.17, 4 Hg 3.20-3.34, 3 Tl 3.24
4 Dy 0.1275 0.1275 0.6175  4 Hg 3.15-3.23, 3 Ag 3.20, 1 Tl 3.30
5 Tl 0.0000 0.0000 0.0000  8 Dy 3.24-3.30
6 Hg 0.2490 0.2490 0.2528  8 Dy 3.15-3.34
7 Hg 0.7510 0.7510 0.7472  8 Dy 3.15-3.34
8 Ag 0.5000 0.5000 0.5000  8 Dy 3.17-3.20

# DyTm2AgHg4

A relaxed DyTm2AgHg4 crystal (GGA-PBE, Alexandria).

Calculated values
crystal system: trigonal
theoretical density: 12.28 g cm⁻³
V: 23.85 Å³ per atom
DFT total energy: -2.581 eV/atom
size of the total moment: 0.00 μB/f.u.

Cell: 5.0763 5.0763 9.0367 Å, 73.69 73.69 60.00°
With the nearest neighbours (Å) after each atom.
Fractional coordinates of all 8 atoms:
1 Hg 0.6257 0.6257 0.1228  3 Dy 3.11, 4 Tm 3.20-3.38, 1 Ag 3.22
2 Hg 0.1237 0.1237 0.6289  4 Tm 3.04-3.05, 3 Ag 3.13, 1 Dy 3.17
3 Hg 0.3743 0.3743 0.8772  3 Dy 3.11, 4 Tm 3.20-3.38, 1 Ag 3.22
4 Hg 0.8763 0.8763 0.3711  4 Tm 3.04-3.05, 3 Ag 3.13, 1 Dy 3.17
5 Ag 0.5000 0.5000 0.5000  8 Hg 3.13-3.22
6 Tm 0.2424 0.2424 0.2729  8 Hg 3.04-3.38
7 Tm 0.7576 0.7576 0.7271  8 Hg 3.04-3.38
8 Dy 0.0000 0.0000 0.0000  8 Hg 3.11-3.17

- Which value of DFT total energy does entry 4 give?
  -2.763 eV/atom